Entry 1:
DFT (GGA-PBEsol) results for a geometry-optimized Na2NiAsCO7 structure.

Calculated values
Its magnetization is 2.0 μB per cell. The total DFT energy (no corrections) is -6.410 eV/atom.

Cell: 5.236 6.482 9.043 Å, 90.00 91.83 90.00°
Positions (direct):
1 O 0.217 0.454 0.318
2 O 0.511 0.250 0.831
3 O 0.075 0.750 0.151
4 O 0.704 0.250 0.058
5 O 0.146 0.250 0.595
6 O 0.296 0.750 0.942
7 O 0.925 0.250 0.849
8 C 0.292 0.750 0.080
9 O 0.373 0.750 0.536
10 O 0.783 0.546 0.682
11 O 0.217 0.046 0.318
12 As 0.704 0.750 0.569
13 O 0.489 0.750 0.169
14 O 0.627 0.250 0.464
15 Na 0.776 0.494 0.232
16 Ni 0.776 0.250 0.657
17 C 0.708 0.250 0.920
18 Na 0.224 0.994 0.768
19 O 0.854 0.750 0.405
20 Ni 0.224 0.750 0.343
21 Na 0.224 0.506 0.768
22 O 0.783 0.954 0.682
23 As 0.296 0.250 0.431
24 Na 0.776 0.006 0.232

Entry 2:
DFT (GGA-PBEsol) results for a geometry-optimized ScAu5 structure.

Calculated values
Its magnetization is 0.0 μB per cell. The total DFT energy (no corrections) is -4.791 eV/atom. The formation energy comes out at -2.52 eV/f.u.

Cell: 4.041 5.022 5.837 Å, 105.69 90.00 113.72°
Positions (direct):
1 Au 0.167 0.334 0.336
2 Au 0.500 0.000 0.000
3 Au 0.833 0.666 0.664
4 Sc 0.500 0.000 0.500
5 Au 0.162 0.323 0.830
6 Au 0.838 0.677 0.170

Entry 3:
DFT (GGA-PBEsol) results for a geometry-optimized Li3BiO3 structure.

Calculated values
Its magnetization is 0.0 μB per cell. The total DFT energy (no corrections) is -5.317 eV/atom. For the offset from the most stable computed form, the calculation gives 58 meV/atom.

Cell: 7.614 7.614 7.614 Å, 109.47 109.47 109.47°
Positions (direct):
1 Bi 0.280 0.000 0.000
2 Li 0.536 0.536 0.244
3 Li 0.464 0.000 0.708
4 O 0.000 0.502 0.245
5 O 0.245 0.000 0.502
6 Li 0.292 0.292 0.756
7 Li 0.708 0.464 0.000
8 Bi 0.720 0.720 0.720
9 Li 0.000 0.464 0.708
10 Bi 0.000 0.280 0.000
11 Li 0.536 0.244 0.536
12 O 0.000 0.245 0.502
13 Li 0.756 0.292 0.292
14 Li 0.708 0.000 0.464
15 O 0.498 0.498 0.743
16 Li 0.292 0.756 0.292
17 Li 0.244 0.536 0.536
18 O 0.245 0.502 0.000
19 O 0.743 0.498 0.498
20 O 0.755 0.755 0.257
21 Li 0.000 0.708 0.464
22 Li 0.464 0.708 0.000
23 O 0.498 0.743 0.498
24 O 0.755 0.257 0.755
25 O 0.502 0.245 0.000
26 Bi 0.000 0.000 0.280
27 O 0.502 0.000 0.245
28 O 0.257 0.755 0.755

Entry 4:
DFT (GGA-PBEsol) results for a geometry-optimized YZnPt structure.

Calculated values
Its magnetization is 0.0 μB per cell. The total DFT energy (no corrections) is -5.975 eV/atom. The formation energy comes out at -2.56 eV/f.u.

Cell: 3.547 4.344 4.344 Å, 120.00 90.00 90.00°
Positions (direct):
1 Zn 0.500 0.667 0.333
2 Y 0.000 0.333 0.667
3 Pt 0.500 0.000 0.000

Question: Among the records above, which one has the lowest total DFT energy (no corrections)?
Answer: Na2NiAsCO7

Question: The highest total DFT energy (no corrections) belongs to which entry?
Answer: ScAu5

What did the third record say?
DFT (GGA-PBEsol) results for a geometry-optimized Li3BiO3 structure.

Calculated values
Its magnetization is 0.0 μB per cell. The total DFT energy (no corrections) is -5.317 eV/atom. For the offset from the most stable computed form, the calculation gives 58 meV/atom.

Cell: 7.614 7.614 7.614 Å, 109.47 109.47 109.47°
Positions (direct):
1 Bi 0.280 0.000 0.000
2 Li 0.536 0.536 0.244
3 Li 0.464 0.000 0.708
4 O 0.000 0.502 0.245
5 O 0.245 0.000 0.502
6 Li 0.292 0.292 0.756
7 Li 0.708 0.464 0.000
8 Bi 0.720 0.720 0.720
9 Li 0.000 0.464 0.708
10 Bi 0.000 0.280 0.000
11 Li 0.536 0.244 0.536
12 O 0.000 0.245 0.502
13 Li 0.756 0.292 0.292
14 Li 0.708 0.000 0.464
15 O 0.498 0.498 0.743
16 Li 0.292 0.756 0.292
17 Li 0.244 0.536 0.536
18 O 0.245 0.502 0.000
19 O 0.743 0.498 0.498
20 O 0.755 0.755 0.257
21 Li 0.000 0.708 0.464
22 Li 0.464 0.708 0.000
23 O 0.498 0.743 0.498
24 O 0.755 0.257 0.755
25 O 0.502 0.245 0.000
26 Bi 0.000 0.000 0.280
27 O 0.502 0.000 0.245
28 O 0.257 0.755 0.755